# UCo6Ge

Crystalline UCo6Ge at its relaxed geometry (PBE, Alexandria via LeMat-Bulk).

Geometry as CIF:
```
data_UCo6Ge
_chemical_formula_sum 'U2 Co12 Ge2'
_cell_length_a 7.2719
_cell_length_b 7.2828
_cell_length_c 3.7014
_cell_angle_alpha 90.00
_cell_angle_beta 90.00
_cell_angle_gamma 90.00
_space_group_name_H-M_alt 'C m m m'
_space_group_IT_number 65
_space_group_name_Hall '-C 2 2'
loop_
_atom_site_label
_atom_site_fract_x
_atom_site_fract_y
_atom_site_fract_z
_atom_site_occupancy
U1 0.0000 0.0000 0.0000 1
Co1 0.0000 0.2551 0.5000 1
Co2 0.2438 0.5000 0.5000 1
Co3 0.2500 0.2500 0.0000 1
Ge1 0.0000 0.5000 0.0000 1
```

- N(E_F): 17.74 states/eV/cell
- Total DFT energy (no corrections): -119.2 eV per cell